*one*
Below is an optimized crystal structure of Sc2BeBr, with properties calculated at the PBE level.

Calculated values
Fermi-level density of states ... 4.89 states/eV per cell

Unit cell a=10.033 b=10.033 c=10.033 alpha=18.67 beta=18.67 gamma=18.67
Fractional coordinates of all 4 atoms:
Sc  0.092  0.092  0.092
Sc  0.908  0.908  0.908
Be  0.000  0.000  0.000
Br  0.500  0.500  0.500

=====

*two*
Below is an optimized crystal structure of Sc2BeBr, with properties calculated at the PBE level.

Calculated values
Fermi-level density of states ... 2.78 states/eV per cell

Unit cell a=3.815 b=3.815 c=5.395 alpha=90.00 beta=90.00 gamma=90.00
Fractional coordinates of all 4 atoms:
Sc  0.000  0.000  0.000
Sc  0.500  0.500  0.499
Be  0.000  0.000  0.500
Br  0.500  0.500  0.999

=====

Most stable pick: *two*. Distance to second place: 624 meV per atom.

=====

*one*
Below is an optimized crystal structure of Sc2BeBr, with properties calculated at the PBE level.

Calculated values
Fermi-level density of states ... 4.74 states/eV per cell

Unit cell a=4.941 b=4.941 c=3.146 alpha=90.00 beta=90.00 gamma=90.00
Fractional coordinates of all 4 atoms:
Sc  0.000  0.500  0.000
Sc  0.500  0.000  0.000
Be  0.000  0.000  0.500
Br  0.500  0.500  0.500

=====

*two*
Below is an optimized crystal structure of Sc2BeBr, with properties calculated at the PBE level.

Calculated values
Fermi-level density of states ... 3.74 states/eV per cell

Unit cell a=5.794 b=5.794 c=5.794 alpha=140.71 beta=140.71 gamma=56.78
Fractional coordinates of all 4 atoms:
Sc  0.000  0.000  0.000
Sc  0.750  0.250  0.500
Be  0.250  0.750  0.500
Br  0.500  0.500  0.000

=====

Most stable pick: *one*. Distance to second place: 105 meV per atom.

=====

*one*
Below is an optimized crystal structure of Sc2BeBr, with properties calculated at the PBE level.

Calculated values
Fermi-level density of states ... 3.56 states/eV per cell

Unit cell a=5.039 b=5.039 c=5.039 alpha=135.04 beta=115.58 gamma=81.98
Fractional coordinates of all 4 atoms:
Sc  0.247  0.247  0.000
Sc  0.753  0.753  0.000
Be  0.000  0.500  0.500
Br  0.500  0.000  0.500

=====

*two*
Below is an optimized crystal structure of Sc2BeBr, with properties calculated at the PBE level.

Calculated values
Fermi-level density of states ... 3.96 states/eV per cell

Unit cell a=4.763 b=4.763 c=4.763 alpha=60.00 beta=60.00 gamma=60.00
Fractional coordinates of all 4 atoms:
Sc  0.250  0.250  0.250
Sc  0.750  0.750  0.750
Be  0.000  0.000  0.000
Br  0.500  0.500  0.500

=====

Most stable pick: *one*. Distance to second place: 41 meV per atom.